[1]
DFT (PBE) results for an optimized crystal structure of NpSe.

Cell and atoms, written as extended XYZ:
```
2
Lattice="3.717 0.000 0.000 -1.858 3.219 0.000 0.000 0.000 4.016" Properties=species:S:1:pos:R:3 pbc="T T T"
Np 0.000 0.000 0.000
Se 1.858 1.073 2.008
```

Results
Electronic total energy, eV/atom: -9.11

***

[2]
DFT (PBE) results for an optimized crystal structure of NdTlNiTe3.

Cell and atoms, written as extended XYZ:
```
12
Lattice="2.095 -7.962 0.000 2.095 7.962 0.000 0.000 0.000 11.469" Properties=species:S:1:pos:R:3 pbc="T T T"
Nd 0.000 0.000 0.000
Nd 0.000 0.000 5.734
Tl 2.095 3.916 8.602
Tl 2.095 -3.916 2.867
Ni 2.095 0.396 2.867
Ni 2.095 -0.396 8.602
Te 2.095 6.786 2.867
Te 2.095 2.154 0.975
Te 2.095 2.154 4.759
Te 2.095 -2.154 6.710
Te 2.095 -2.154 10.494
Te 2.095 -6.786 8.602
```

Results
Energy above the most stable polymorph in this dataset, eV/atom: 0.0031
Electronic total energy, eV/atom: -4.34

***

[3]
DFT (PBE) results for an optimized crystal structure of NaPaBi.

Cell and atoms, written as extended XYZ:
```
3
Lattice="0.000 3.525 3.525 3.525 0.000 3.525 3.525 3.525 0.000" Properties=species:S:1:pos:R:3 pbc="T T T"
Na 0.000 0.000 0.000
Pa 1.762 1.762 1.762
Bi 5.287 5.287 5.287
```

Results
Energy above the most stable polymorph in this dataset, eV/atom: 0.0195
Electronic total energy, eV/atom: -4.27

***

[4]
DFT (PBE) results for an optimized crystal structure of KTe3PtAu.

Cell and atoms, written as extended XYZ:
```
12
Lattice="2.009 -8.142 0.000 2.009 8.142 0.000 0.000 0.000 11.454" Properties=species:S:1:pos:R:3 pbc="T T T"
K 2.009 4.395 8.591
K 2.009 -4.395 2.864
Te 2.009 6.360 0.214
Te 2.009 6.360 5.513
Te 2.009 0.635 2.864
Te 2.009 -0.635 8.591
Te 2.009 -6.360 5.941
Te 2.009 -6.360 11.240
Pt 2.009 0.000 0.000
Pt 2.009 0.000 5.727
Au 2.009 6.444 2.864
Au 2.009 -6.444 8.591
```

Results
Electronic total energy, eV/atom: -3.68

***

What is the electronic total energy in the third record? -4.27 eV/atom

***

The highest electronic total energy belongs to which entry? KTe3PtAu